# PrDy2Al

An optimized crystal structure of PrDy2Al (PBE-GGA, Alexandria via LeMat-Bulk).

Geometry as POSCAR:
```
PrDy2Al
1.0
1.805 1.042 10.570
-1.805 1.042 10.570
0.000 -2.085 10.570
Pr Dy Al
1 2 1
Cartesian
0.000 0.000 0.000 Pr
0.000 0.000 7.536 Dy
0.000 0.000 13.616 Dy
0.000 0.000 26.444 Al
```

Values from the calculation:
As for the final energy: -4.498 eV per atom. Its mass density is 6.9 g cm⁻³. The calculation puts the energy above the most stable polymorph in this dataset at 0.50 eV per formula unit. The formation enthalpy at 0 K is -67 meV per atom. Its space-group type is R3m, No. 160.